First-principles (PBE-GGA) data for a geometry-optimized TaIn2BiCl structure, as listed in Alexandria via LeMat-Bulk.

Unit cell a=5.9202 b=5.9202 c=5.2570 alpha=90.00 beta=90.00 gamma=90.00
Closest atoms and distances in Å follow each position.
Space group P4/mmm (No. 123)
One atom of each set of equivalent atoms:
Ta 0.0000 0.0000 0.0000 (multiplicity 1)  8 In 3.96, 4 Cl 4.19
In 0.0000 0.5000 0.5000 (multiplicity 2)  2 Bi 2.96
Bi 0.5000 0.5000 0.5000 (multiplicity 1)  2 Cl 2.63
Cl 0.5000 0.5000 0.0000 (multiplicity 1)  2 Bi 2.63

First-principles (PBE-GGA) data for a geometry-optimized InBiTeCl2 structure, as listed in Alexandria via LeMat-Bulk.

Unit cell a=4.9190 b=4.9190 c=6.6440 alpha=90.00 beta=90.00 gamma=90.00
Closest atoms and distances in Å follow each position.
Space group P4/mmm (No. 123)
One atom of each set of equivalent atoms:
In 0.0000 0.0000 0.0000 (multiplicity 1)  4 Cl 2.46
Bi 0.0000 0.0000 0.5000 (multiplicity 1)  2 In 3.32, 4 Te 3.48
Te 0.5000 0.5000 0.5000 (multiplicity 1)  4 Bi 3.48
Cl 0.0000 0.5000 0.0000 (multiplicity 2)  2 In 2.46

First-principles (PBE-GGA) data for a geometry-optimized TlIn2BiCl6 structure, as listed in Alexandria via LeMat-Bulk.

Unit cell a=7.3850 b=8.3898 c=12.8648 alpha=90.00 beta=121.73 gamma=90.00
Closest atoms and distances in Å follow each position.
Space group P2_1/c (No. 14)
One atom of each set of equivalent atoms:
Tl 0.0000 0.0000 0.0000 (multiplicity 2)  6 Cl 3.17-3.27
In 0.2075 0.0649 0.7340 (multiplicity 4)  6 Cl 3.09-3.42
Bi 0.5000 0.0000 0.5000 (multiplicity 2)  6 Cl 2.74-2.75
Cl 0.1458 0.1615 0.4598 (multiplicity 4)  1 Bi 2.74
Cl 0.2604 0.7271 0.4159 (multiplicity 4)  1 Bi 2.74
Cl 0.4070 0.0730 0.2689 (multiplicity 4)  1 Bi 2.75

First-principles (PBE-GGA) data for a geometry-optimized Tl2InBiCl6 structure, as listed in Alexandria via LeMat-Bulk.

Unit cell a=7.8618 b=7.8618 c=20.0943 alpha=90.00 beta=90.00 gamma=120.00
Closest atoms and distances in Å follow each position.
Space group R3 (No. 146, hexagonal axes)
One atom of each set of equivalent atoms:
Tl 0.0000 0.0000 0.0000 (multiplicity 3)  6 Cl 3.26-3.31
Tl 0.0000 0.0000 0.4933 (multiplicity 3)  6 Cl 3.30
In 0.0000 0.0000 0.2098 (multiplicity 3)  6 Cl 3.09-3.20
Bi 0.0000 0.0000 0.7034 (multiplicity 3)  6 Cl 2.74-2.75
Cl 0.0119 0.4056 0.4425 (multiplicity 9)  1 Bi 2.74
Cl 0.0825 0.7060 0.2846 (multiplicity 9)  1 Bi 2.75

Record-wise spin magnetization values, in μB/cell: 3.9; 0.0; 0.0; 0.0
Record-wise VASP energy values, in eV per atom: -3.316; -2.953; -3.229; -3.239
Record-wise raw formation energy values, in eV per atom: 1.2951; -0.2620; -0.9491; -0.9957